Computed, not measured: a PBEsol-optimized structure of TaBe3As at the SCAN level of DFT.

- magnetization (μB per formula unit) = 0.00
- E (eV per atom) = -18.843
- formation enthalpy at 0 K (meV/atom) = 1124

Unit cell a=4.1224 b=4.1224 c=4.1224 alpha=90.00 beta=90.00 gamma=90.00
Closest atoms and distances in Å follow each position.
Atoms (fractional coordinates):
Ta (0.0000, 0.0000, 0.0000)  12 Be 2.91
Be (0.0000, 0.5000, 0.5000)  2 As 2.06
Be (0.5000, 0.0000, 0.5000)  2 As 2.06
Be (0.5000, 0.5000, 0.0000)  2 As 2.06
As (0.5000, 0.5000, 0.5000)  6 Be 2.06